Density functional theory data (PBE-GGA) for a relaxed structure of Er5Tl5H2.

**Electronic total energy**: -3.770 eV per atom
**Volume**: 23.28 Å³ per atom

a = 11.554 Å, b = 4.513 Å, c = 10.851 Å
α = 90.00°, β = 99.07°, γ = 90.00°
Space group C2/m (No. 12)
Asymmetric unit:
1 Er 0.000 0.000 0.000
2 Er 0.074 0.000 0.319
3 Er 0.157 0.500 0.825
4 Tl 0.000 0.500 0.500
5 Tl 0.141 0.500 0.134
6 Tl 0.210 0.000 0.599
7 H 0.082 0.000 0.827



Density functional theory data (PBE-GGA) for a relaxed structure of ErTlH.

**ΔE to the lowest computed polymorph**: 0.000 eV/f.u.
**Electronic total energy**: -3.842 eV per atom
**Volume**: 19.70 Å³ per atom

a = 3.5918 Å, b = 3.5918 Å, c = 5.2885 Å
α = 90.00°, β = 90.00°, γ = 120.00°
Space group P-6m2 (No. 187)
Asymmetric unit:
1 Er 0.0000 0.0000 0.0000
2 Tl 0.6667 0.3333 0.5000
3 H 0.3333 0.6667 0.0000



Density functional theory data (PBE-GGA) for a relaxed structure of Er4Tl3H2.

**Electronic total energy**: -3.932 eV per atom
**Volume**: 22.22 Å³ per atom

a = 13.898 Å, b = 9.237 Å, c = 6.369 Å
α = 90.00°, β = 101.95°, γ = 90.00°
Space group C2/c (No. 15)
Asymmetric unit:
1 Er 0.120 0.225 0.015
2 Er 0.198 0.421 0.584
3 Tl 0.000 0.486 0.250
4 Tl 0.096 0.112 0.531
5 H 0.229 0.373 0.927



Density functional theory data (PBE-GGA) for a relaxed structure of Er6Tl3H.

**Electronic total energy**: -4.074 eV per atom
**Volume**: 25.35 Å³ per atom

a = 11.440 Å, b = 16.662 Å, c = 5.320 Å
α = 90.00°, β = 90.00°, γ = 90.00°
Space group Cmc2_1 (No. 36)
Asymmetric unit:
1 Er 0.000 0.084 0.000
2 Er 0.000 0.239 0.486
3 Er 0.170 0.417 0.501
4 Er 0.174 0.270 0.997
5 Tl 0.000 0.418 0.002
6 Tl 0.160 0.080 0.502
7 H 0.000 0.214 0.067



Question: What is the electronic total energy in the second record?
Answer: -3.842 eV per atom



Question: Which value of electronic total energy does entry 4 give?
Answer: -4.074 eV per atom



Question: The lowest electronic total energy belongs to which entry?
Answer: Er6Tl3H